Here is an optimized crystal structure of TbEuCdRh from Alexandria via LeMat-Bulk. Energies are from PBE.

Structure (POSCAR):
```
TbEuCdRh
1.0
-2.963 -2.385 -3.464
-3.913 -2.952 1.560
-4.848 1.552 -0.742
Eu Rh Tb Cd
1 1 1 1
direct
0.000 0.000 0.000
0.250 0.250 0.250
0.500 0.500 0.500
0.750 0.750 0.750
```

DFT total energy (eV per atom): -6.18
E_form (eV/atom): -0.383


Here is an optimized crystal structure of EuTlCdRh from Alexandria via LeMat-Bulk. Energies are from PBE.

Structure (POSCAR):
```
EuTlCdRh
1.0
5.064 0.000 0.000
2.532 4.386 0.000
2.532 1.462 4.135
Eu Cd Rh Tl
1 1 1 1
direct
0.250 0.250 0.250
0.750 0.750 0.750
0.500 0.500 0.500
0.000 0.000 0.000
```

DFT total energy (eV per atom): -5.33
E_form (eV/atom): -0.105


Here is an optimized crystal structure of EuTmCdRh from Alexandria via LeMat-Bulk. Energies are from PBE.

Structure (POSCAR):
```
EuTmCdRh
1.0
-0.084 -3.247 -3.934
3.130 -4.029 -0.050
-1.884 -4.702 0.613
Tm Eu Cd Rh
1 1 1 1
direct
0.500 0.500 0.500
0.000 0.000 0.000
0.750 0.750 0.750
0.250 0.250 0.250
```

DFT total energy (eV per atom): -6.14
E_form (eV/atom): -0.388


Here is an optimized crystal structure of Eu3CdRu from Alexandria via LeMat-Bulk. Energies are from PBE.

Structure (POSCAR):
```
Eu3CdRu
1.0
-0.711 2.273 4.938
2.770 -4.134 2.301
4.677 2.794 -0.613
Eu Cd Ru
3 1 1
direct
0.000 0.000 0.500
0.500 0.000 0.000
0.000 0.500 0.000
0.500 0.500 0.500
0.000 0.000 0.000
```

DFT total energy (eV per atom): -8.21
E_form (eV/atom): -0.010


Here is an optimized crystal structure of SmEuCdRu from Alexandria via LeMat-Bulk. Energies are from PBE.

Structure (POSCAR):
```
SmEuCdRu
1.0
-1.662 -0.725 -4.826
-3.934 -3.203 -0.918
-4.571 1.884 -1.462
Cd Eu Ru Sm
1 1 1 1
direct
0.250 0.250 0.250
0.000 0.000 0.000
0.750 0.750 0.750
0.500 0.500 0.500
```

DFT total energy (eV per atom): -6.38
E_form (eV/atom): -0.087


Here is an optimized crystal structure of EuTmCdRu from Alexandria via LeMat-Bulk. Energies are from PBE.

Structure (POSCAR):
```
EuTmCdRu
1.0
5.070 0.000 0.000
2.535 4.391 0.000
2.535 1.464 4.139
Ru Cd Eu Tm
1 1 1 1
direct
0.250 0.250 0.250
0.750 0.750 0.750
0.000 0.000 0.000
0.500 0.500 0.500
```

DFT total energy (eV per atom): -6.35
E_form (eV/atom): -0.118


Here is an optimized crystal structure of EuYCdRu from Alexandria via LeMat-Bulk. Energies are from PBE.

Structure (POSCAR):
```
EuYCdRu
1.0
-3.301 1.137 3.734
0.317 -2.391 4.507
1.597 2.544 4.136
Cd Y Ru Eu
1 1 1 1
direct
0.250 0.250 0.250
0.000 0.000 0.000
0.750 0.750 0.750
0.500 0.500 0.500
```

DFT total energy (eV per atom): -6.84
E_form (eV/atom): -0.110


Here is an optimized crystal structure of EuCdSb from Alexandria via LeMat-Bulk. Energies are from PBE.

Structure (POSCAR):
```
EuCdSb
1.0
-3.433 -1.574 1.250
1.985 -2.269 2.595
0.291 5.873 1.863
Sb Eu Cd
1 1 1
direct
0.935 0.935 0.869
0.615 0.615 0.231
0.300 0.300 0.600
```

DFT total energy (eV per atom): -5.55
ΔE_f (raw) (eV per atom): -0.44
Energy above the most stable polymorph in this dataset (meV per atom): 118


Here is an optimized crystal structure of EuCdSb from Alexandria via LeMat-Bulk. Energies are from PBE.

Structure (POSCAR):
```
EuCdSb
1.0
4.556 0.000 0.000
0.000 4.768 0.000
0.000 -2.384 4.129
Sb Cd Eu
1 1 1
direct
0.253 0.333 0.667
0.072 0.000 0.000
0.675 0.667 0.333
```

DFT total energy (eV per atom): -5.67
ΔE_f (raw) (eV per atom): -0.56
Energy above the most stable polymorph in this dataset (meV per atom): 0


Here is an optimized crystal structure of Eu2CdSb from Alexandria via LeMat-Bulk. Energies are from PBE.

Structure (POSCAR):
```
Eu2CdSb
1.0
4.298 0.000 0.000
0.000 5.308 0.000
0.000 0.000 5.308
Eu Cd Sb
2 1 1
direct
0.000 0.500 0.000
0.000 0.000 0.500
0.500 0.000 0.000
0.500 0.500 0.500
```

DFT total energy (eV per atom): -7.11
ΔE_f (raw) (eV per atom): -0.71
Energy above the most stable polymorph in this dataset (meV per atom): 0


Here is an optimized crystal structure of Eu2CdSb from Alexandria via LeMat-Bulk. Energies are from PBE.

Structure (POSCAR):
```
Eu2CdSb
1.0
5.553 0.000 0.000
2.776 4.809 0.000
2.776 1.603 4.534
Eu Sb Cd
2 1 1
direct
0.750 0.750 0.750
0.250 0.250 0.250
0.000 0.000 0.000
0.500 0.500 0.500
```

DFT total energy (eV per atom): -7.07
ΔE_f (raw) (eV per atom): -0.67
Energy above the most stable polymorph in this dataset (meV per atom): 35


Here is an optimized crystal structure of SmEuCdSb from Alexandria via LeMat-Bulk. Energies are from PBE.

Structure (POSCAR):
```
SmEuCdSb
1.0
-1.293 -0.387 -5.289
3.327 -2.628 -3.438
-1.493 -4.812 -2.099
Sm Cd Eu Sb
1 1 1 1
direct
0.500 0.500 0.500
0.250 0.250 0.250
0.000 0.000 0.000
0.750 0.750 0.750
```

DFT total energy (eV per atom): -5.59
ΔE_f (raw) (eV per atom): -0.58